First-principles (GGA-PBEsol) data for a geometry-optimized TcGeP2S structure, as listed in the Alexandria database.

The calculation puts the density at 4.7 g/cm³. For the total moment, the calculation gives 0.50 μB per atom. The uncorrected formation energy comes out at 1.30 eV/atom. The calculation puts the volume at 94.1 Å³/cell. The crystal system is tetragonal.

The structure in CIF format:
```
data_TcGeP2S
_chemical_formula_sum 'Tc1 Ge1 P2 S1'
_space_group_name_H-M_alt 'P 4/m m m'
_space_group_IT_number 123
_space_group_name_Hall '-P 4 2'
_cell_length_a 4.570
_cell_length_b 4.570
_cell_length_c 4.506
_cell_angle_alpha 90.00
_cell_angle_beta 90.00
_cell_angle_gamma 90.00
loop_
_atom_site_label
_atom_site_type_symbol
_atom_site_fract_x
_atom_site_fract_y
_atom_site_fract_z
Tc1 Tc 0.000 0.000 0.000
Ge1 Ge 0.500 0.500 0.500
P1 P 0.000 0.500 0.500
S1 S 0.500 0.500 0.000
```